[1]
Below is a geometry-optimized Na3DyY2Se6 structure, with properties calculated at the PBE level.

```
data_Na3DyY2Se6
_cell_length_a 7.184
_cell_length_b 12.443
_cell_length_c 7.406
_cell_angle_alpha 90.00
_cell_angle_beta 108.87
_cell_angle_gamma 90.00
_space_group_name_H-M_alt 'C 1 2/m 1'
_space_group_IT_number 12
loop_
_space_group_symop_operation_xyz
'x,y,z'
'-x,-y,-z'
'-x,y,-z'
'x,-y,z'
'x+1/2,y+1/2,z'
'-x+1/2,-y+1/2,-z'
'-x+1/2,y+1/2,-z'
'x+1/2,-y+1/2,z'
loop_
_atom_site_label
_atom_site_type_symbol
_atom_site_fract_x
_atom_site_fract_y
_atom_site_fract_z
Na1 Na 0.000 0.000 0.000
Na2 Na 0.000 0.333 0.000
Dy1 Dy 0.000 0.500 0.500
Y1 Y 0.000 0.167 0.500
Se1 Se 0.243 0.334 0.730
Se2 Se 0.244 0.000 0.730
```

Properties
The value obtained for the uncorrected formation energy is -20.56 eV/f.u. Its mass density is 4.681 g cm⁻³. For the uncorrected energy, the calculation gives -5.246 eV/atom. The total magnetic moment is 0.0 μB/cell.

***

[2]
Below is a geometry-optimized Nb2Co6Mo structure, with properties calculated at the PBE level.

```
data_Nb2Co6Mo
_cell_length_a 5.0405
_cell_length_b 5.0405
_cell_length_c 5.3281
_cell_angle_alpha 90.00
_cell_angle_beta 90.00
_cell_angle_gamma 120.00
_space_group_name_H-M_alt 'P -3 m 1'
_space_group_IT_number 164
_space_group_name_Hall '-P 3 2"'
loop_
_atom_site_label
_atom_site_type_symbol
_atom_site_fract_x
_atom_site_fract_y
_atom_site_fract_z
Nb1 Nb 0.3333 0.6667 0.3487
Co1 Co 0.1787 0.3574 0.8293
Mo1 Mo 0.0000 0.0000 0.5000
```

Properties
Its mass density is 8.999 g cm⁻³. The value obtained for the formation energy is 27 meV per atom. For the uncorrected energy, the calculation gives -8.152 eV/atom. The total magnetic moment is 1.3 μB/cell.

***

[3]
Below is a geometry-optimized Ga5NiIr4 structure, with properties calculated at the PBE level.

```
data_Ga5NiIr4
_cell_length_a 2.982
_cell_length_b 2.982
_cell_length_c 15.709
_cell_angle_alpha 90.00
_cell_angle_beta 90.00
_cell_angle_gamma 90.00
_space_group_name_H-M_alt 'P 4/m m m'
_space_group_IT_number 123
_space_group_name_Hall '-P 4 2'
loop_
_atom_site_label
_atom_site_type_symbol
_atom_site_fract_x
_atom_site_fract_y
_atom_site_fract_z
Ga1 Ga 0.000 0.000 0.000
Ga2 Ga 0.000 0.000 0.205
Ga3 Ga 0.000 0.000 0.409
Ni1 Ni 0.500 0.500 0.500
Ir1 Ir 0.500 0.500 0.103
Ir2 Ir 0.500 0.500 0.307
```

Properties
Its mass density is 13.979 g cm⁻³. The value obtained for the formation energy is -384 meV per atom. For the uncorrected energy, the calculation gives -6.020 eV/atom. The total magnetic moment is 0.0 μB/cell.

***

[4]
Below is a geometry-optimized Hg2IrCl structure, with properties calculated at the PBE level.

```
data_Hg2IrCl
_cell_length_a 14.213
_cell_length_b 3.276
_cell_length_c 4.408
_cell_angle_alpha 90.00
_cell_angle_beta 100.38
_cell_angle_gamma 90.00
_space_group_name_H-M_alt 'C 1 m 1'
_space_group_IT_number 8
loop_
_space_group_symop_operation_xyz
'x,y,z'
'x,-y,z'
'x+1/2,y+1/2,z'
'x+1/2,-y+1/2,z'
loop_
_atom_site_label
_atom_site_type_symbol
_atom_site_fract_x
_atom_site_fract_y
_atom_site_fract_z
Hg1 Hg 0.000 0.000 0.000
Hg2 Hg 0.175 0.500 0.561
Ir1 Ir 0.488 0.000 0.495
Cl1 Cl 0.321 0.000 0.378
```

Properties
The value obtained for the uncorrected formation energy is 0.56 eV/f.u. Its mass density is 10.346 g cm⁻³. For the uncorrected energy, the calculation gives -2.687 eV/atom. The total magnetic moment is 0.0 μB/cell.

***

[5]
Below is a geometry-optimized ZnCd2As structure, with properties calculated at the PBE level.

```
data_ZnCd2As
_cell_length_a 4.381
_cell_length_b 4.381
_cell_length_c 8.527
_cell_angle_alpha 90.00
_cell_angle_beta 90.00
_cell_angle_gamma 90.00
_space_group_name_H-M_alt 'I 4/m m m'
_space_group_IT_number 139
_space_group_name_Hall '-I 4 2'
loop_
_atom_site_label
_atom_site_type_symbol
_atom_site_fract_x
_atom_site_fract_y
_atom_site_fract_z
Zn1 Zn 0.000 0.000 0.000
Cd1 Cd 0.000 0.500 0.250
As1 As 0.000 0.000 0.500
```

Properties
Its mass density is 7.411 g cm⁻³. The value obtained for the formation energy is 140 meV per atom. For the uncorrected energy, the calculation gives -1.798 eV/atom. The total magnetic moment is 0.0 μB/cell.

***

[6]
Below is a geometry-optimized RbZnPt3 structure, with properties calculated at the PBE level.

```
data_RbZnPt3
_cell_length_a 5.124
_cell_length_b 5.124
_cell_length_c 5.124
_cell_angle_alpha 90.00
_cell_angle_beta 90.00
_cell_angle_gamma 90.00
_space_group_name_H-M_alt 'P m -3 m'
_space_group_IT_number 221
_space_group_name_Hall '-P 4 2 3'
loop_
_atom_site_label
_atom_site_type_symbol
_atom_site_fract_x
_atom_site_fract_y
_atom_site_fract_z
Rb1 Rb 0.000 0.000 0.000
Zn1 Zn 0.500 0.500 0.500
Pt1 Pt 0.000 0.000 0.500
```

Properties
Its mass density is 9.087 g cm⁻³. The value obtained for the formation energy is 2143 meV per atom. For the uncorrected energy, the calculation gives -1.929 eV/atom. The total magnetic moment is 0.0 μB/cell.

***

[7]
Below is a geometry-optimized La2Nd5Er5 structure, with properties calculated at the PBE level.

```
data_La2Nd5Er5
_cell_length_a 15.429
_cell_length_b 5.094
_cell_length_c 11.486
_cell_angle_alpha 90.00
_cell_angle_beta 116.73
_cell_angle_gamma 90.00
_space_group_name_H-M_alt 'C 1 2/m 1'
_space_group_IT_number 12
loop_
_space_group_symop_operation_xyz
'x,y,z'
'-x,-y,-z'
'-x,y,-z'
'x,-y,z'
'x+1/2,y+1/2,z'
'-x+1/2,-y+1/2,-z'
'-x+1/2,y+1/2,-z'
'x+1/2,-y+1/2,z'
loop_
_atom_site_label
_atom_site_type_symbol
_atom_site_fract_x
_atom_site_fract_y
_atom_site_fract_z
La1 La 0.082 0.000 0.251
Nd1 Nd 0.000 0.000 0.500
Nd2 Nd 0.166 0.000 0.000
Nd3 Nd 0.247 0.000 0.747
Er1 Er 0.000 0.500 0.000
Er2 Er 0.084 0.500 0.749
Er3 Er 0.167 0.500 0.501
```

Properties
Its mass density is 7.560 g cm⁻³. The value obtained for the formation energy is 23 meV per atom. For the uncorrected energy, the calculation gives -4.686 eV/atom. The total magnetic moment is 0.0 μB/cell.

***

[8]
Below is a geometry-optimized Cd3PdAu structure, with properties calculated at the PBE level.

```
data_Cd3PdAu
_cell_length_a 11.875
_cell_length_b 9.120
_cell_length_c 7.902
_cell_angle_alpha 90.00
_cell_angle_beta 90.00
_cell_angle_gamma 90.00
_space_group_name_H-M_alt 'C m c m'
_space_group_IT_number 63
_space_group_name_Hall '-C 2c 2'
loop_
_atom_site_label
_atom_site_type_symbol
_atom_site_fract_x
_atom_site_fract_y
_atom_site_fract_z
Cd1 Cd 0.128 0.152 0.061
Cd2 Cd 0.130 0.500 0.000
Pd1 Pd 0.000 0.057 0.750
Pd2 Pd 0.000 0.358 0.250
Au1 Au 0.167 0.284 0.750
```

Properties
Its mass density is 9.944 g cm⁻³. The value obtained for the formation energy is -141 meV per atom. For the uncorrected energy, the calculation gives -2.384 eV/atom. The total magnetic moment is 0.0 μB/cell.

***

[9]
Below is a geometry-optimized Y2HfTlSb structure, with properties calculated at the PBE level.

```
data_Y2HfTlSb
_cell_length_a 5.638
_cell_length_b 5.638
_cell_length_c 5.561
_cell_angle_alpha 90.00
_cell_angle_beta 90.00
_cell_angle_gamma 90.00
_space_group_name_H-M_alt 'P 4/m m m'
_space_group_IT_number 123
_space_group_name_Hall '-P 4 2'
loop_
_atom_site_label
_atom_site_type_symbol
_atom_site_fract_x
_atom_site_fract_y
_atom_site_fract_z
Y1 Y 0.000 0.500 0.000
Hf1 Hf 0.000 0.000 0.500
Tl1 Tl 0.500 0.500 0.000
Sb1 Sb 0.500 0.500 0.500
```

Properties
The value obtained for the uncorrected formation energy is 4.53 eV/f.u. Its mass density is 6.412 g cm⁻³. For the uncorrected energy, the calculation gives -4.968 eV/atom. The total magnetic moment is 2.3 μB/cell.

***

[10]
Below is a geometry-optimized ZnIn2Si structure, with properties calculated at the PBE level.

```
data_ZnIn2Si
_cell_length_a 4.341
_cell_length_b 4.591
_cell_length_c 8.595
_cell_angle_alpha 90.00
_cell_angle_beta 90.00
_cell_angle_gamma 90.00
_space_group_name_H-M_alt 'C m m 2'
_space_group_IT_number 35
loop_
_space_group_symop_operation_xyz
'x,y,z'
'-x,-y,z'
'-x,y,z'
'x,-y,z'
'x+1/2,y+1/2,z'
'-x+1/2,-y+1/2,z'
'-x+1/2,y+1/2,z'
'x+1/2,-y+1/2,z'
loop_
_atom_site_label
_atom_site_type_symbol
_atom_site_fract_x
_atom_site_fract_y
_atom_site_fract_z
Zn1 Zn 0.000 0.000 0.000
In1 In 0.000 0.000 0.570
In2 In 0.000 0.500 0.253
Si1 Si 0.000 0.500 0.828
```

Properties
The value obtained for the uncorrected formation energy is 0.92 eV/f.u. Its mass density is 6.264 g cm⁻³. For the uncorrected energy, the calculation gives -2.813 eV/atom. The total magnetic moment is 0.0 μB/cell.

***

[11]
Below is a geometry-optimized CaNd2Zn3Pt4 structure, with properties calculated at the PBE level.

```
data_CaNd2Zn3Pt4
_cell_length_a 4.150
_cell_length_b 4.150
_cell_length_c 11.896
_cell_angle_alpha 90.00
_cell_angle_beta 90.00
_cell_angle_gamma 90.00
_space_group_name_H-M_alt 'P -4 m 2'
_space_group_IT_number 115
loop_
_space_group_symop_operation_xyz
'x,y,z'
'y,-x,-z'
'-x,-y,z'
'-y,x,-z'
'-x,y,z'
'-y,-x,-z'
'x,-y,z'
'y,x,-z'
loop_
_atom_site_label
_atom_site_type_symbol
_atom_site_fract_x
_atom_site_fract_y
_atom_site_fract_z
Ca1 Ca 0.000 0.000 0.000
Nd1 Nd 0.000 0.500 0.728
Zn1 Zn 0.000 0.500 0.375
Zn2 Zn 0.500 0.500 0.000
Pt1 Pt 0.000 0.000 0.500
Pt2 Pt 0.000 0.500 0.163
Pt3 Pt 0.500 0.500 0.500
```

Properties
Its mass density is 10.577 g cm⁻³. The value obtained for the formation energy is -763 meV per atom. For the uncorrected energy, the calculation gives -4.715 eV/atom. The total magnetic moment is 0.0 μB/cell.

***

[12]
Below is a geometry-optimized LiLuThPt structure, with properties calculated at the PBE level.

```
data_LiLuThPt
_cell_length_a 7.120
_cell_length_b 7.120
_cell_length_c 7.120
_cell_angle_alpha 90.00
_cell_angle_beta 90.00
_cell_angle_gamma 90.00
_space_group_name_H-M_alt 'F -4 3 m'
_space_group_IT_number 216
_space_group_name_Hall 'F -4 2 3'
loop_
_atom_site_label
_atom_site_type_symbol
_atom_site_fract_x
_atom_site_fract_y
_atom_site_fract_z
Li1 Li 0.000 0.000 0.000
Lu1 Lu 0.250 0.250 0.250
Th1 Th 0.250 0.250 0.750
Pt1 Pt 0.000 0.000 0.500
```

Properties
Its mass density is 11.208 g cm⁻³. The value obtained for the formation energy is -532 meV per atom. For the uncorrected energy, the calculation gives -5.506 eV/atom. The total magnetic moment is 0.0 μB/cell.